Arrangement w

Entry from the Alexandria database: a relaxed structure of CeSn3Au3 (PBE).

Properties
- SG: P2_1/m, No. 11

Lattice parameters (Å, degrees): 4.9027 8.6512 9.1264 118.12 90.00 90.00
Site moments in Bohr magnetons follow the coordinates.
Element x y z (fractional)
Ce 0.7500 0.3420 0.6775  0.86
Ce 0.2500 0.6580 0.3225  0.86
Sn 0.7500 0.7748 0.0419  0.00
Sn 0.7500 0.2624 0.2453  0.00
Sn 0.7500 0.9714 0.7351  0.00
Sn 0.2500 0.2252 0.9581  0.00
Sn 0.2500 0.7376 0.7547  0.00
Sn 0.2500 0.0286 0.2649  0.00
Au 0.7500 0.9111 0.4001  0.00
Au 0.7500 0.4657 0.0787  0.00
Au 0.7500 0.6065 0.5182  0.00
Au 0.2500 0.0889 0.5999  0.00
Au 0.2500 0.5343 0.9213  0.00
Au 0.2500 0.3935 0.4818  0.00

Arrangement x

Entry from the Alexandria database: a relaxed structure of CeSn3Au3 (PBE).

Properties
- SG: Pm-3n, No. 223

Lattice parameters (Å, degrees): 7.5326 7.5326 7.5326 90.00 90.00 90.00
Site moments in Bohr magnetons follow the coordinates.
Element x y z (fractional)
Au 0.0000 0.2500 0.5000  0.00
Au 0.0000 0.7500 0.5000  0.00
Au 0.5000 0.0000 0.7500  0.00
Au 0.7500 0.5000 0.0000  0.00
Au 0.5000 0.0000 0.2500  0.00
Au 0.2500 0.5000 0.0000  0.00
Sn 0.2500 0.0000 0.5000  0.00
Sn 0.0000 0.5000 0.2500  0.00
Sn 0.5000 0.7500 0.0000  0.00
Sn 0.7500 0.0000 0.5000  0.00
Sn 0.0000 0.5000 0.7500  0.00
Sn 0.5000 0.2500 0.0000  0.00
Ce 0.5000 0.5000 0.5000  1.28
Ce 0.0000 0.0000 0.0000  1.28

Stability summary - winner: arrangement w; margin: 351 meV/atom.

Arrangement w

Entry from the Alexandria database: a relaxed structure of Ce4SnAu (PBE).

Properties
- SG: C2/m, No. 12

Lattice parameters (Å, degrees): 5.1101 6.0747 6.0747 99.13 65.11 65.11
Site moments in Bohr magnetons follow the coordinates.
Element x y z (fractional)
Ce 0.7561 0.5678 0.9157  0.41
Ce 0.7561 0.9157 0.5678  0.41
Ce 0.2438 0.4322 0.0843  0.41
Ce 0.2438 0.0843 0.4322  0.41
Sn 0.0000 0.0000 0.0000  -0.01
Au 0.5000 0.5000 0.5000  0.01

Arrangement x

Entry from the Alexandria database: a relaxed structure of Ce4SnAu (PBE).

Properties
- SG: C2/c, No. 15

Lattice parameters (Å, degrees): 5.7536 8.6001 7.8866 116.43 102.42 105.93
Site moments in Bohr magnetons follow the coordinates.
Element x y z (fractional)
Ce 0.0537 0.1869 0.7877  0.40
Ce 0.8425 0.6834 0.6121  0.34
Ce 0.2340 0.6008 0.7877  0.40
Ce 0.2696 0.9288 0.6121  0.34
Ce 0.7304 0.0712 0.3879  0.34
Ce 0.7660 0.3992 0.2123  0.40
Ce 0.1575 0.3166 0.3879  0.34
Ce 0.9463 0.8131 0.2123  0.40
Sn 0.3670 0.6170 0.2339  -0.01
Sn 0.6330 0.3830 0.7661  -0.01
Au 0.2791 0.0291 0.0581  0.01
Au 0.7209 0.9709 0.9419  0.01

Stability summary - winner: arrangement x; margin: 50 meV/atom.

Arrangement w

Entry from the Alexandria database: a relaxed structure of CeSnAu4 (PBE).

Properties
- SG: Cmcm, No. 63

Lattice parameters (Å, degrees): 5.1108 7.5258 7.7516 90.00 109.25 90.00
Site moments in Bohr magnetons follow the coordinates.
Element x y z (fractional)
Ce 0.3759 0.7500 0.7517  0.96
Ce 0.6241 0.2500 0.2483  0.96
Sn 0.1400 0.7500 0.2801  0.00
Sn 0.8600 0.2500 0.7199  0.00
Au 0.2216 0.4279 0.4432  0.01
Au 0.7784 0.5721 0.5568  0.01
Au 0.2216 0.0721 0.4432  0.01
Au 0.7784 0.9279 0.5568  0.01
Au 0.5762 0.7500 0.1524  0.00
Au 0.4238 0.2500 0.8476  0.00
Au 0.0000 0.5000 0.0000  0.01
Au 0.0000 0.0000 0.0000  0.01

Arrangement x

Entry from the Alexandria database: a relaxed structure of CeSnAu4 (PBE).

Properties
- SG: C2/m, No. 12

Lattice parameters (Å, degrees): 6.5823 6.8366 6.5823 77.48 74.26 77.48
Site moments in Bohr magnetons follow the coordinates.
Element x y z (fractional)
Ce 0.1589 0.2414 0.1589  0.92
Ce 0.8411 0.7586 0.8411  0.92
Sn 0.3972 0.8043 0.3972  -0.01
Sn 0.6028 0.1957 0.6028  -0.01
Au 0.1471 0.7252 0.1471  0.00
Au 0.8046 0.5672 0.4371  0.00
Au 0.7617 0.0000 0.2383  -0.01
Au 0.5629 0.4328 0.1954  0.00
Au 0.8529 0.2748 0.8529  0.00
Au 0.1954 0.4328 0.5629  0.00
Au 0.2383 0.0000 0.7617  -0.01
Au 0.4371 0.5672 0.8046  0.00

Stability summary - winner: arrangement x; margin: 57 meV/atom.

Arrangement w

Entry from the Alexandria database: a relaxed structure of TbCeAu (PBE).

Properties
- SG: C2/m, No. 12

Lattice parameters (Å, degrees): 4.8316 4.8316 9.7150 119.73 119.73 60.09
Element x y z (fractional)
Ce 0.7171 0.7171 0.5754
Ce 0.2829 0.2829 0.4246
Tb 0.5819 0.5819 0.8722
Tb 0.4181 0.4181 0.1278
Au 0.1506 0.1506 0.7254
Au 0.8494 0.8494 0.2746

Arrangement x

Entry from the Alexandria database: a relaxed structure of TbCeAu (PBE).

Properties
- SG: P3m1, No. 156

Lattice parameters (Å, degrees): 3.7200 4.9452 4.9452 120.00 90.00 90.00
Site moments in Bohr magnetons follow the coordinates.
Element x y z (fractional)
Tb 0.6084 0.6667 0.3333  0.06
Au 0.3662 0.3333 0.6667  0.01
Ce 0.0254 0.0000 0.0000  0.72

Stability summary - winner: arrangement w; margin: 122 meV/atom.

Arrangement w

Entry from the Alexandria database: a relaxed structure of CeThTlAu (PBE).

Properties
- SG: F-43m, No. 216

Lattice parameters (Å, degrees): 5.3931 5.3931 5.3931 60.00 60.00 60.00
Site moments in Bohr magnetons follow the coordinates.
Element x y z (fractional)
Tl 0.0000 0.0000 0.0000  0.00
Au 0.5000 0.5000 0.5000  0.05
Ce 0.7500 0.7500 0.7500  1.02
Th 0.2500 0.2500 0.2500  0.34

Arrangement x

Entry from the Alexandria database: a relaxed structure of CeThTlAu (PBE).

Properties
- SG: P4mm, No. 99

Lattice parameters (Å, degrees): 3.4734 3.4734 8.9206 90.00 90.00 90.00
Site moments in Bohr magnetons follow the coordinates.
Element x y z (fractional)
Ce 0.0000 0.0000 0.3765  0.96
Th 0.0000 0.0000 0.8361  0.07
Tl 0.5000 0.5000 0.1095  0.01
Au 0.5000 0.5000 0.6059  0.01

Stability summary - winner: arrangement x; margin: 86 meV/atom.

Arrangement w

Entry from the Alexandria database: a relaxed structure of CeThZnAu (PBE).

Properties
- SG: F-43m, No. 216

Lattice parameters (Å, degrees): 5.2167 5.2167 5.2167 60.00 60.00 60.00
Site moments in Bohr magnetons follow the coordinates.
Element x y z (fractional)
Zn 0.0000 0.0000 0.0000  0.01
Au 0.5000 0.5000 0.5000  0.04
Ce 0.2500 0.2500 0.2500  0.89
Th 0.7500 0.7500 0.7500  0.28

Arrangement x

Entry from the Alexandria database: a relaxed structure of CeThZnAu (PBE).

Properties
- SG: Amm2, No. 38

Lattice parameters (Å, degrees): 3.7261 4.5149 6.2373 90.00 107.38 90.00
Site moments in Bohr magnetons follow the coordinates.
Element x y z (fractional)
Ce 0.8465 0.5000 0.6930  0.63
Th 0.1567 0.0000 0.3133  0.03
Zn 0.4307 0.0000 0.8613  0.00
Au 0.5662 0.5000 0.1324  0.00

Stability summary - winner: arrangement x; margin: 50 meV/atom.

Arrangement w

Entry from the Alexandria database: a relaxed structure of Ce8TlAu2 (PBE).

Properties
- SG: Immm, No. 71

Lattice parameters (Å, degrees): 5.0754 9.2127 8.3036 123.69 107.79 90.00
Site moments in Bohr magnetons follow the coordinates.
Element x y z (fractional)
Tl 0.5000 0.0000 0.0000  -0.01
Au 0.1747 0.6747 0.3494  0.01
Au 0.8253 0.3253 0.6506  0.01
Ce 0.6662 0.8854 0.3324  0.65
Ce 0.3338 0.5531 0.6676  0.65
Ce 0.1870 0.1870 0.3740  0.55
Ce 0.0000 0.2867 0.0000  0.83
Ce 0.8130 0.8130 0.6260  0.55
Ce 0.6662 0.4469 0.3324  0.65
Ce 0.3338 0.1146 0.6676  0.65
Ce 0.0000 0.7133 0.0000  0.83

Arrangement x

Entry from the Alexandria database: a relaxed structure of Ce8TlAu2 (PBE).

Properties
- SG: C2/m, No. 12

Lattice parameters (Å, degrees): 6.1799 7.4334 7.4334 73.90 96.87 96.87
Site moments in Bohr magnetons follow the coordinates.
Element x y z (fractional)
Ce 0.2819 0.4026 0.8116  0.33
Ce 0.7181 0.1884 0.5974  0.33
Ce 0.1355 0.7508 0.7508  0.35
Ce 0.8645 0.2492 0.2492  0.35
Ce 0.2819 0.8116 0.4026  0.33
Ce 0.7181 0.5974 0.1884  0.33
Ce 0.7682 0.5667 0.5667  0.24
Ce 0.2318 0.4333 0.4333  0.24
Tl 0.0000 0.0000 0.0000  0.01
Au 0.6199 0.7912 0.7912  0.00
Au 0.3801 0.2088 0.2088  0.00

Stability summary - winner: arrangement w; margin: 168 meV/atom.

Arrangement w

Entry from the Alexandria database: a relaxed structure of Ce2TlAu3 (PBE).

Properties
- SG: Fmmm, No. 69

Lattice parameters (Å, degrees): 5.9479 5.9479 9.1603 101.73 101.73 111.96
Site moments in Bohr magnetons follow the coordinates.
Element x y z (fractional)
Ce 0.2500 0.7500 0.5000  0.77
Ce 0.7626 0.7626 0.0000  0.66
Ce 0.7500 0.2500 0.5000  0.77
Ce 0.2374 0.2374 0.0000  0.66
Tl 0.6656 0.6656 0.3312  0.00
Tl 0.3344 0.3344 0.6688  0.00
Au 0.3309 0.8340 0.1649  -0.01
Au 0.1660 0.6691 0.8351  -0.01
Au 0.6691 0.1660 0.8351  -0.01
Au 0.8340 0.3309 0.1649  -0.01
Au 0.1658 0.1658 0.3316  0.00
Au 0.8342 0.8342 0.6684  0.00

Arrangement x

Entry from the Alexandria database: a relaxed structure of Ce2TlAu3 (PBE).

Properties
- SG: Imm2, No. 44

Lattice parameters (Å, degrees): 4.2988 3.9134 9.8859 101.42 102.56 90.00
Site moments in Bohr magnetons follow the coordinates.
Element x y z (fractional)
Ce 0.1367 0.1367 0.2735  0.96
Ce 0.8498 0.3498 0.6996  0.91
Tl 0.4532 0.9532 0.9064  0.01
Au 0.7049 0.7049 0.4098  0.01
Au 0.5596 0.5596 0.1192  0.00
Au 0.2958 0.7958 0.5916  0.01

Stability summary - winner: arrangement w; margin: 109 meV/atom.

Arrangement w

Entry from the Alexandria database: a relaxed structure of CeTlAu4 (PBE).

Properties
- SG: P6/mmm, No. 191

Lattice parameters (Å, degrees): 4.8416 4.8416 6.7768 90.00 90.00 120.00
Site moments in Bohr magnetons follow the coordinates.
Element x y z (fractional)
Ce 0.0000 0.0000 0.0000  0.68
Tl 0.0000 0.0000 0.5000  0.01
Au 0.3333 0.6667 0.2408  0.00
Au 0.3333 0.6667 0.7592  0.00
Au 0.6667 0.3333 0.2408  0.00
Au 0.6667 0.3333 0.7592  0.00

Arrangement x

Entry from the Alexandria database: a relaxed structure of CeTlAu4 (PBE).

Properties
- SG: F-43m, No. 216

Lattice parameters (Å, degrees): 5.7091 5.7091 5.7091 60.00 60.00 60.00
Site moments in Bohr magnetons follow the coordinates.
Element x y z (fractional)
Tl 0.2500 0.2500 0.2500  0.01
Au 0.6248 0.6248 0.1256  0.00
Au 0.6248 0.1256 0.6248  0.00
Au 0.6248 0.6248 0.6248  0.00
Au 0.1256 0.6248 0.6248  0.00
Ce 0.0000 0.0000 0.0000  0.94

Stability summary - winner: arrangement w; margin: 24 meV/atom.

Arrangement w

Entry from the Alexandria database: a relaxed structure of Ce3TlAu2 (PBE).

Properties
- SG: R-3c, No. 167

Lattice parameters (Å, degrees): 8.3490 8.3490 8.3490 54.81 54.81 54.81
Site moments in Bohr magnetons follow the coordinates.
Element x y z (fractional)
Ce 0.4542 0.0458 0.7500  0.99
Ce 0.0458 0.7500 0.4542  0.99
Ce 0.7500 0.4542 0.0458  0.99
Ce 0.5458 0.9542 0.2500  0.99
Ce 0.9542 0.2500 0.5458  0.99
Ce 0.2500 0.5458 0.9542  0.99
Tl 0.5000 0.5000 0.5000  0.04
Tl 0.0000 0.0000 0.0000  0.04
Au 0.3484 0.3484 0.3484  0.03
Au 0.1516 0.1516 0.1516  0.03
Au 0.8484 0.8484 0.8484  0.03
Au 0.6516 0.6516 0.6516  0.03

Arrangement x

Entry from the Alexandria database: a relaxed structure of Ce3TlAu2 (PBE).

Properties
- SG: P4/mmm, No. 123

Lattice parameters (Å, degrees): 3.6104 3.6104 12.1472 90.00 90.00 90.00
Site moments in Bohr magnetons follow the coordinates.
Element x y z (fractional)
Ce 0.0000 0.0000 0.0000  0.90
Ce 0.0000 0.0000 0.6857  0.91
Ce 0.0000 0.0000 0.3143  0.91
Tl 0.5000 0.5000 0.5000  -0.01
Au 0.5000 0.5000 0.8418  0.01
Au 0.5000 0.5000 0.1582  0.01

Stability summary - winner: arrangement x; margin: 151 meV/atom.

Arrangement w

Entry from the Alexandria database: a relaxed structure of CeTmAu (PBE).

Properties
- SG: F-43m, No. 216

Lattice parameters (Å, degrees): 4.9991 4.9991 4.9991 60.00 60.00 60.00
Site moments in Bohr magnetons follow the coordinates.
Element x y z (fractional)
Tm 0.0000 0.0000 0.0000  0.12
Au 0.2500 0.2500 0.2500  0.02
Ce 0.5000 0.5000 0.5000  0.82

Arrangement x

Entry from the Alexandria database: a relaxed structure of CeTmAu (PBE).

Properties
- SG: P3m1, No. 156

Lattice parameters (Å, degrees): 3.8040 4.9287 4.9287 120.00 90.00 90.00
Site moments in Bohr magnetons follow the coordinates.
Element x y z (fractional)
Tm 0.5535 0.6667 0.3333  0.08
Au 0.4212 0.3333 0.6667  0.01
Ce 0.0252 0.0000 0.0000  0.79

Arrangement y

Entry from the Alexandria database: a relaxed structure of CeTmAu (PBE).

Properties
- SG: I4mm, No. 107

Lattice parameters (Å, degrees): 3.5473 3.5473 6.8171 105.08 105.08 90.00
Site moments in Bohr magnetons follow the coordinates.
Element x y z (fractional)
Tm 0.3102 0.3102 0.6203  0.20
Au 0.9374 0.9374 0.8749  0.00
Ce 0.6024 0.6024 0.2048  0.98

Stability summary - winner: arrangement y; margin: 138 meV/atom.

Arrangement w

Entry from the Alexandria database: a relaxed structure of Ce2TmAu (PBE).

Properties
- SG: P4/mmm, No. 123

Lattice parameters (Å, degrees): 3.8241 3.8241 7.6475 90.00 90.00 90.00
Site moments in Bohr magnetons follow the coordinates.
Element x y z (fractional)
Tm 0.5000 0.5000 0.5000  0.17
Au 0.5000 0.5000 0.0000  0.00
Ce 0.0000 0.0000 0.7910  0.76
Ce 0.0000 0.0000 0.2090  0.76

Arrangement x

Entry from the Alexandria database: a relaxed structure of Ce2TmAu (PBE).

Properties
- SG: R-3m, No. 166

Lattice parameters (Å, degrees): 3.2067 3.2067 12.0588 82.36 82.36 60.00
Site moments in Bohr magnetons follow the coordinates.
Element x y z (fractional)
Tm 0.5000 0.5000 0.5000  0.03
Au 0.0000 0.0000 0.0000  0.01
Ce 0.0836 0.0836 0.7492  0.49
Ce 0.9164 0.9164 0.2508  0.49

Stability summary - winner: arrangement w; margin: 408 meV/atom.